DFT (GGA-PBE) results for an optimized crystal structure of SmPd6Pb.

Output
SG: No. 123
VASP energy: -44.0 eV per cell

a = 4.159 Å, b = 4.159 Å, c = 8.220 Å
α = 90.00°, β = 90.00°, γ = 90.00°
Fractional coordinates of all 8 atoms:
Sm  0.000  0.000  0.000
Pd  0.000  0.500  0.255
Pd  0.000  0.500  0.745
Pd  0.500  0.000  0.255
Pd  0.500  0.000  0.745
Pd  0.500  0.500  0.000
Pd  0.500  0.500  0.500
Pb  0.000  0.000  0.500



DFT (GGA-PBE) results for an optimized crystal structure of SmPd6Pb.

Output
SG: No. 166
VASP energy: -40.4 eV per cell

a = 5.532 Å, b = 5.532 Å, c = 5.532 Å
α = 85.30°, β = 85.30°, γ = 85.30°
Fractional coordinates of all 8 atoms:
Sm  0.000  0.000  0.000
Pd  0.162  0.162  0.531
Pd  0.162  0.531  0.162
Pd  0.469  0.838  0.838
Pd  0.531  0.162  0.162
Pd  0.838  0.469  0.838
Pd  0.838  0.838  0.469
Pb  0.500  0.500  0.500



DFT (GGA-PBE) results for an optimized crystal structure of Sm3PdPb2.

Output
SG: No. 62
VASP energy: -122.3 eV per cell

a = 12.557 Å, b = 4.615 Å, c = 11.947 Å
α = 90.00°, β = 90.00°, γ = 90.00°
Fractional coordinates of all 24 atoms:
Sm  0.052  0.250  0.132
Sm  0.125  0.750  0.554
Sm  0.234  0.250  0.800
Sm  0.266  0.750  0.300
Sm  0.375  0.250  0.054
Sm  0.448  0.750  0.632
Sm  0.552  0.250  0.368
Sm  0.625  0.750  0.946
Sm  0.734  0.250  0.700
Sm  0.766  0.750  0.200
Sm  0.875  0.250  0.446
Sm  0.948  0.750  0.868
Pd  0.124  0.250  0.374
Pd  0.376  0.750  0.874
Pd  0.624  0.250  0.126
Pd  0.876  0.750  0.626
Pb  0.001  0.250  0.690
Pb  0.184  0.750  0.005
Pb  0.316  0.250  0.505
Pb  0.499  0.750  0.190
Pb  0.501  0.250  0.810
Pb  0.684  0.750  0.495
Pb  0.816  0.250  0.995
Pb  0.999  0.750  0.310



DFT (GGA-PBE) results for an optimized crystal structure of Sm3Pd7Pb2.

Output
SG: No. 65
VASP energy: -64.7 eV per cell

a = 12.161 Å, b = 12.161 Å, c = 4.706 Å
α = 90.00°, β = 90.00°, γ = 158.09°
Fractional coordinates of all 12 atoms:
Sm  0.000  0.000  0.000
Sm  0.161  0.839  0.000
Sm  0.839  0.161  0.000
Pd  0.074  0.926  0.500
Pd  0.223  0.777  0.500
Pd  0.420  0.580  0.000
Pd  0.500  0.500  0.500
Pd  0.580  0.420  0.000
Pd  0.777  0.223  0.500
Pd  0.926  0.074  0.500
Pb  0.352  0.648  0.500
Pb  0.648  0.352  0.500



DFT (GGA-PBE) results for an optimized crystal structure of Sm2Pd8Pb.

Output
SG: No. 12
VASP energy: -60.2 eV per cell

a = 8.246 Å, b = 8.246 Å, c = 6.043 Å
α = 111.44°, β = 111.44°, γ = 33.91°
Fractional coordinates of all 11 atoms:
Sm  0.185  0.185  0.185
Sm  0.815  0.815  0.815
Pd  0.000  0.000  0.246
Pd  0.000  0.000  0.754
Pd  0.180  0.180  0.680
Pd  0.355  0.355  0.618
Pd  0.356  0.356  0.093
Pd  0.644  0.644  0.907
Pd  0.645  0.645  0.382
Pd  0.820  0.820  0.320
Pb  0.500  0.500  0.500



DFT (GGA-PBE) results for an optimized crystal structure of Sm3PdPb3.

Output
SG: No. 12
VASP energy: -69.3 eV per cell

a = 6.258 Å, b = 6.258 Å, c = 15.537 Å
α = 107.34°, β = 107.34°, γ = 42.95°
Fractional coordinates of all 14 atoms:
Sm  0.028  0.028  0.382
Sm  0.097  0.097  0.923
Sm  0.231  0.231  0.236
Sm  0.769  0.769  0.764
Sm  0.903  0.903  0.077
Sm  0.972  0.972  0.618
Pd  0.271  0.271  0.619
Pd  0.729  0.729  0.381
Pb  0.356  0.356  0.458
Pb  0.367  0.367  0.923
Pb  0.490  0.490  0.768
Pb  0.510  0.510  0.232
Pb  0.633  0.633  0.077
Pb  0.644  0.644  0.542



Number 1: density of states at the Fermi level 0.213 states/eV per atom, V 17.8 Å³ per atom. Number 2: density of states at the Fermi level 0.647 states/eV per atom, V 21.0 Å³ per atom. Number 3: density of states at the Fermi level 0.727 states/eV per atom, V 28.8 Å³ per atom. Number 4: density of states at the Fermi level 0.410 states/eV per atom, V 21.6 Å³ per atom. Number 5: density of states at the Fermi level 0.367 states/eV per atom, V 19.3 Å³ per atom. Number 6: density of states at the Fermi level 0.606 states/eV per atom, V 28.1 Å³ per atom.